Material: LaPuInGe
Method: DFT, PBE
State: relaxed

The structure in POSCAR format:
```
LaPuInGe
1.0
0.000 3.777 3.777
3.777 0.000 3.777
3.777 3.777 0.000
La Pu In Ge
1 1 1 1
Direct
0.000 0.000 0.000 La
0.500 0.500 0.500 Pu
0.750 0.750 0.750 In
0.250 0.250 0.250 Ge
```

Values from the calculation:
Energy = -6.99 eV/atom
Formation energy = -338 meV per atom